The following is a DFT calculation (PBE) of a relaxed SrZr2Pd2 crystal.

The structure in POSCAR format:
```
SrZr2Pd2
1.0
4.679 0.000 0.000
0.000 4.679 0.000
2.339 2.339 5.602
Sr Zr Pd
1 2 2
Direct
0.000 0.000 0.000
0.750 0.250 0.500
0.250 0.750 0.500
0.377 0.377 0.246
0.623 0.623 0.754
```

SG	I4/mmm, No. 139
calculated formation energy	-1.9	eV/f.u.